Record 1
The following is a GGA-PBE calculation of PuMg2HO6 after structural relaxation, from Alexandria via LeMat-Bulk.

Cell: 5.388 5.442 6.271 Å, 54.98 62.29 59.30°
Site moments in Bohr magnetons follow the coordinates.
Fractional positions:
Pu1 0.307 0.360 0.016  1.37
Mg1 0.531 0.472 0.408  0.00
Mg2 0.975 0.033 0.994  0.00
H1 0.950 0.632 0.655  0.00
O1 0.594 0.239 0.222  -0.06
O2 0.254 0.943 0.215  -0.06
O3 0.928 0.569 0.218  -0.06
O4 0.337 0.773 0.797  -0.07
O5 0.670 0.205 0.775  -0.07
O6 0.115 0.435 0.715  -0.02

Computed properties:
Raw total energy ... -72.70 eV for the cell shown
Crystal system ... triclinic
Space-group type ... P1

Record 2
The following is a GGA-PBE calculation of Rb2MgH12S2O14 after structural relaxation, from Alexandria via LeMat-Bulk.

Cell: 6.331 9.264 12.574 Å, 90.00 90.00 105.09°
Site moments in Bohr magnetons follow the coordinates.
Fractional positions:
Rb1 0.340 0.628 0.849  0.00
Rb2 0.660 0.872 0.349  0.00
Rb3 0.660 0.372 0.151  0.00
Rb4 0.340 0.128 0.651  0.00
Mg1 0.000 0.500 0.500  0.00
Mg2 0.000 0.000 0.000  0.00
H1 0.322 0.717 0.592  0.00
H2 0.678 0.783 0.092  0.00
H3 0.678 0.283 0.408  0.00
H4 0.322 0.217 0.908  0.00
H5 0.089 0.743 0.626  0.00
H6 0.911 0.757 0.126  0.00
H7 0.911 0.257 0.374  0.00
H8 0.089 0.243 0.874  0.00
H9 0.921 0.226 0.600  0.00
H10 0.079 0.274 0.100  0.00
H11 0.079 0.774 0.400  0.00
H12 0.921 0.726 0.900  0.00
H13 0.985 0.351 0.688  0.00
H14 0.015 0.149 0.188  0.00
H15 0.015 0.649 0.312  0.00
H16 0.985 0.851 0.812  0.00
H17 0.334 0.393 0.437  0.00
H18 0.666 0.107 0.937  0.00
H19 0.666 0.607 0.563  0.00
H20 0.334 0.893 0.063  0.00
H21 0.323 0.523 0.357  0.00
H22 0.677 0.977 0.857  0.00
H23 0.677 0.477 0.643  0.00
H24 0.323 0.023 0.143  0.00
S1 0.729 0.903 0.641  0.00
S2 0.271 0.597 0.141  0.00
S3 0.271 0.097 0.359  0.00
S4 0.729 0.403 0.859  0.00
O1 0.588 0.909 0.736  0.04
O2 0.412 0.591 0.236  0.04
O3 0.412 0.091 0.264  0.04
O4 0.588 0.409 0.764  0.04
O5 0.770 0.045 0.580  0.05
O6 0.230 0.455 0.080  0.05
O7 0.230 0.955 0.420  0.05
O8 0.770 0.545 0.920  0.05
O9 0.607 0.778 0.571  0.03
O10 0.393 0.722 0.071  0.03
O11 0.393 0.222 0.429  0.03
O12 0.607 0.278 0.929  0.03
O13 0.940 0.874 0.677  0.01
O14 0.060 0.626 0.177  0.01
O15 0.060 0.126 0.323  0.01
O16 0.940 0.374 0.823  0.01
O17 0.167 0.666 0.609  0.00
O18 0.833 0.834 0.109  0.00
O19 0.833 0.334 0.391  0.00
O20 0.167 0.166 0.891  0.00
O21 0.013 0.329 0.613  0.00
O22 0.987 0.171 0.113  0.00
O23 0.987 0.671 0.387  0.00
O24 0.013 0.829 0.887  0.00
O25 0.288 0.487 0.432  0.00
O26 0.712 0.013 0.932  0.00
O27 0.712 0.513 0.568  0.00
O28 0.288 0.987 0.068  0.00

Computed properties:
Raw total energy ... -331.67 eV for the cell shown
Crystal system ... monoclinic
Space-group type ... P2_1/c

Record 3
The following is a GGA-PBE calculation of MgH8SO8 after structural relaxation, from Alexandria via LeMat-Bulk.

Cell: 6.027 7.946 13.640 Å, 90.00 90.00 89.33°
Fractional positions:
Mg1 0.926 0.777 0.105
Mg2 0.574 0.723 0.605
Mg3 0.074 0.223 0.895
Mg4 0.426 0.277 0.395
H1 0.914 0.774 0.308
H2 0.586 0.726 0.808
H3 0.086 0.226 0.692
H4 0.414 0.274 0.192
H5 0.177 0.222 0.234
H6 0.323 0.278 0.734
H7 0.823 0.778 0.766
H8 0.677 0.722 0.266
H9 0.429 0.058 0.597
H10 0.071 0.442 0.097
H11 0.693 0.032 0.314
H12 0.807 0.468 0.814
H13 0.307 0.968 0.686
H14 0.193 0.532 0.186
H15 0.824 0.440 0.402
H16 0.676 0.060 0.902
H17 0.176 0.560 0.598
H18 0.324 0.940 0.098
H19 0.801 0.336 0.303
H20 0.699 0.164 0.803
H21 0.199 0.664 0.697
H22 0.301 0.836 0.197
H23 0.046 0.174 0.484
H24 0.454 0.326 0.984
H25 0.954 0.826 0.516
H26 0.546 0.674 0.016
H27 0.130 0.024 0.416
H28 0.370 0.476 0.916
H29 0.870 0.976 0.584
H30 0.630 0.524 0.084
H31 0.571 0.942 0.403
H32 0.929 0.558 0.903
S1 0.804 0.179 0.108
S2 0.696 0.321 0.608
S3 0.196 0.821 0.892
S4 0.304 0.679 0.392
O1 0.102 0.552 0.128
O2 0.398 0.948 0.628
O3 0.898 0.448 0.872
O4 0.602 0.052 0.372
O5 0.783 0.098 0.853
O6 0.685 0.718 0.750
O7 0.185 0.218 0.750
O8 0.315 0.282 0.250
O9 0.283 0.598 0.647
O10 0.217 0.902 0.147
O11 0.141 0.146 0.427
O12 0.359 0.354 0.927
O13 0.859 0.854 0.573
O14 0.641 0.646 0.073
O15 0.372 0.683 0.288
O16 0.128 0.817 0.788
O17 0.628 0.317 0.712
O18 0.872 0.183 0.212
O19 0.101 0.788 0.406
O20 0.399 0.712 0.906
O21 0.899 0.212 0.594
O22 0.601 0.288 0.094
O23 0.252 0.504 0.424
O24 0.248 0.996 0.924
O25 0.748 0.496 0.576
O26 0.752 0.004 0.076
O27 0.488 0.745 0.454
O28 0.012 0.755 0.954
O29 0.512 0.255 0.546
O30 0.988 0.245 0.046
O31 0.717 0.402 0.353
O32 0.815 0.782 0.250

Computed properties:
Raw total energy ... -386.60 eV for the cell shown
Crystal system ... monoclinic
Space-group type ... P2_1/c

Record 4
The following is a GGA-PBE calculation of MgH14SO11 after structural relaxation, from Alexandria via LeMat-Bulk.

Cell: 6.792 12.031 12.026 Å, 90.00 90.00 90.00°
Site moments in Bohr magnetons follow the coordinates.
Fractional positions:
Mg1 0.036 0.417 0.108  0.00
Mg2 0.536 0.083 0.892  0.00
Mg3 0.964 0.917 0.392  0.00
Mg4 0.464 0.583 0.608  0.00
H1 0.480 0.513 0.868  0.00
H2 0.980 0.987 0.132  0.00
H3 0.520 0.013 0.632  0.00
H4 0.020 0.487 0.368  0.00
H5 0.539 0.561 0.985  0.00
H6 0.039 0.939 0.015  0.00
H7 0.461 0.061 0.515  0.00
H8 0.961 0.439 0.485  0.00
H9 0.106 0.600 0.502  0.00
H10 0.606 0.900 0.498  0.00
H11 0.894 0.100 0.998  0.00
H12 0.394 0.400 0.002  0.00
H13 0.176 0.724 0.533  0.00
H14 0.676 0.776 0.467  0.00
H15 0.824 0.224 0.967  0.00
H16 0.324 0.276 0.033  0.00
H17 0.735 0.584 0.442  0.00
H18 0.235 0.916 0.558  0.00
H19 0.265 0.084 0.058  0.00
H20 0.765 0.416 0.942  0.00
H21 0.534 0.637 0.392  0.00
H22 0.034 0.863 0.608  0.00
H23 0.466 0.137 0.108  0.00
H24 0.966 0.363 0.892  0.00
H25 0.477 0.397 0.473  0.00
H26 0.977 0.103 0.527  0.00
H27 0.402 0.768 0.730  0.00
H28 0.523 0.897 0.027  0.00
H29 0.298 0.382 0.555  0.00
H30 0.798 0.118 0.445  0.00
H31 0.702 0.882 0.945  0.00
H32 0.202 0.618 0.055  0.00
H33 0.760 0.456 0.686  0.00
H34 0.260 0.044 0.314  0.00
H35 0.240 0.956 0.814  0.00
H36 0.740 0.544 0.186  0.00
H37 0.812 0.579 0.728  0.00
H38 0.312 0.921 0.272  0.00
H39 0.188 0.079 0.772  0.00
H40 0.688 0.421 0.228  0.00
H41 0.239 0.454 0.754  0.00
H42 0.739 0.046 0.246  0.00
H43 0.761 0.954 0.746  0.00
H44 0.261 0.546 0.254  0.00
H45 0.197 0.581 0.777  0.00
H46 0.697 0.919 0.223  0.00
H47 0.803 0.081 0.723  0.00
H48 0.303 0.419 0.277  0.00
H49 0.635 0.767 0.703  0.00
H50 0.135 0.733 0.297  0.00
H51 0.365 0.267 0.797  0.00
H52 0.865 0.233 0.203  0.00
H53 0.098 0.232 0.230  0.00
H54 0.598 0.268 0.770  0.00
H55 0.902 0.732 0.270  0.00
H56 0.023 0.603 0.973  0.00
S1 0.499 0.719 0.178  0.00
S2 0.999 0.781 0.822  0.00
S3 0.501 0.219 0.322  0.00
S4 0.001 0.281 0.678  0.00
O1 0.552 0.495 0.937  0.00
O2 0.052 0.005 0.063  0.00
O3 0.448 0.995 0.563  0.00
O4 0.948 0.505 0.437  0.00
O5 0.208 0.645 0.541  0.00
O6 0.708 0.855 0.459  0.00
O7 0.792 0.145 0.959  0.00
O8 0.292 0.355 0.041  0.00
O9 0.615 0.629 0.460  0.00
O10 0.115 0.871 0.540  0.00
O11 0.385 0.129 0.040  0.00
O12 0.885 0.371 0.960  0.00
O13 0.421 0.425 0.543  0.00
O14 0.921 0.075 0.457  0.00
O15 0.579 0.925 0.957  0.00
O16 0.079 0.575 0.043  0.00
O17 0.730 0.536 0.676  0.00
O18 0.230 0.964 0.324  0.00
O19 0.270 0.036 0.824  0.00
O20 0.770 0.464 0.176  0.00
O21 0.304 0.529 0.754  0.00
O22 0.804 0.971 0.246  0.00
O23 0.696 0.029 0.746  0.00
O24 0.196 0.471 0.254  0.00
O25 0.505 0.737 0.680  0.00
O26 0.005 0.763 0.320  0.00
O27 0.495 0.237 0.820  0.00
O28 0.995 0.263 0.180  0.00
O29 0.130 0.325 0.771  0.02
O30 0.630 0.175 0.229  0.02
O31 0.870 0.825 0.729  0.02
O32 0.370 0.675 0.271  0.02
O33 0.795 0.318 0.699  0.04
O34 0.295 0.182 0.301  0.04
O35 0.205 0.818 0.801  0.04
O36 0.705 0.682 0.199  0.04
O37 0.012 0.157 0.677  0.03
O38 0.512 0.343 0.323  0.03
O39 0.988 0.657 0.823  0.03
O40 0.488 0.843 0.177  0.03
O41 0.070 0.326 0.570  0.05
O42 0.570 0.174 0.430  0.05
O43 0.930 0.826 0.930  0.05
O44 0.430 0.674 0.070  0.05

Computed properties:
Raw total energy ... -565.54 eV for the cell shown
Crystal system ... orthorhombic
Space-group type ... P2_12_12_1

Record 5
The following is a GGA-PBE calculation of MgH12S2O9 after structural relaxation, from Alexandria via LeMat-Bulk.

Cell: 6.896 9.540 14.491 Å, 90.00 90.00 90.00°
Fractional positions:
Mg1 0.000 0.000 0.000
Mg2 0.500 0.500 0.000
Mg3 0.500 0.500 0.500
Mg4 0.000 0.000 0.500
H1 0.269 0.875 0.111
H2 0.769 0.625 0.889
H3 0.231 0.375 0.389
H4 0.731 0.125 0.611
H5 0.731 0.125 0.889
H6 0.231 0.375 0.111
H7 0.769 0.625 0.611
H8 0.269 0.875 0.389
H9 0.066 0.803 0.131
H10 0.566 0.697 0.869
H11 0.434 0.303 0.369
H12 0.934 0.197 0.631
H13 0.934 0.197 0.869
H14 0.434 0.303 0.131
H15 0.566 0.697 0.631
H16 0.066 0.803 0.369
H17 0.066 0.109 0.165
H18 0.566 0.391 0.835
H19 0.434 0.609 0.335
H20 0.934 0.891 0.665
H21 0.934 0.891 0.835
H22 0.434 0.609 0.165
H23 0.566 0.391 0.665
H24 0.066 0.109 0.335
H25 0.844 0.145 0.151
H26 0.344 0.355 0.849
H27 0.656 0.645 0.349
H28 0.156 0.855 0.651
H29 0.156 0.855 0.849
H30 0.656 0.645 0.151
H31 0.344 0.355 0.651
H32 0.844 0.145 0.349
H33 0.651 0.914 0.075
H34 0.151 0.586 0.925
H35 0.849 0.414 0.425
H36 0.349 0.086 0.575
H37 0.349 0.086 0.925
H38 0.849 0.414 0.075
H39 0.151 0.586 0.575
H40 0.651 0.914 0.425
H41 0.701 0.812 0.990
H42 0.201 0.688 0.010
H43 0.799 0.312 0.510
H44 0.299 0.188 0.490
H45 0.299 0.188 0.010
H46 0.799 0.312 0.990
H47 0.201 0.688 0.490
H48 0.701 0.812 0.510
S1 0.434 0.030 0.250
S2 0.934 0.470 0.750
S3 0.066 0.530 0.250
S4 0.566 0.970 0.750
S5 0.603 0.206 0.250
S6 0.103 0.294 0.750
S7 0.897 0.706 0.250
S8 0.397 0.794 0.750
O1 0.474 0.948 0.165
O2 0.974 0.552 0.835
O3 0.026 0.448 0.335
O4 0.526 0.052 0.665
O5 0.526 0.052 0.835
O6 0.026 0.448 0.165
O7 0.974 0.552 0.665
O8 0.474 0.948 0.335
O9 0.228 0.078 0.250
O10 0.728 0.422 0.750
O11 0.272 0.578 0.250
O12 0.772 0.922 0.750
O13 0.148 0.841 0.080
O14 0.648 0.659 0.920
O15 0.352 0.341 0.420
O16 0.852 0.159 0.580
O17 0.852 0.159 0.920
O18 0.352 0.341 0.080
O19 0.648 0.659 0.580
O20 0.148 0.841 0.420
O21 0.964 0.120 0.117
O22 0.464 0.380 0.883
O23 0.536 0.620 0.383
O24 0.036 0.880 0.617
O25 0.036 0.880 0.883
O26 0.536 0.620 0.117
O27 0.464 0.380 0.617
O28 0.964 0.120 0.383
O29 0.741 0.898 0.023
O30 0.241 0.602 0.977
O31 0.759 0.398 0.477
O32 0.259 0.102 0.523
O33 0.259 0.102 0.977
O34 0.759 0.398 0.023
O35 0.241 0.602 0.523
O36 0.741 0.898 0.477

Computed properties:
Raw total energy ... -492.65 eV for the cell shown
Crystal system ... orthorhombic
Space-group type ... Pnma

Record 6
The following is a GGA-PBE calculation of MgZr2H10S6O28 after structural relaxation, from Alexandria via LeMat-Bulk.

Cell: 5.330 8.973 13.338 Å, 95.61 90.95 92.39°
Fractional positions:
Mg1 0.101 0.728 0.193
Zr1 0.780 0.904 0.823
Zr2 0.327 0.189 0.151
H1 0.394 0.603 0.607
H2 0.520 0.304 0.464
H3 0.255 0.757 0.566
H4 0.602 0.126 0.457
H5 0.313 0.603 0.487
H6 0.485 0.207 0.568
H7 0.190 0.390 0.829
H8 0.684 0.557 0.155
H9 0.455 0.407 0.879
H10 0.821 0.554 0.051
S1 0.775 0.604 0.731
S2 0.282 0.435 0.301
S3 0.275 0.029 0.678
S4 0.627 0.931 0.289
S5 0.282 0.855 0.997
S6 0.824 0.256 0.990
O1 0.880 0.754 0.696
O2 0.138 0.284 0.285
O3 0.580 0.535 0.659
O4 0.412 0.452 0.400
O5 0.971 0.505 0.749
O6 0.119 0.560 0.289
O7 0.652 0.673 0.828
O8 0.467 0.418 0.215
O9 0.258 0.925 0.587
O10 0.635 0.971 0.398
O11 0.038 0.032 0.737
O12 0.876 0.891 0.251
O13 0.347 0.181 0.657
O14 0.435 0.811 0.258
O15 0.474 0.975 0.750
O16 0.553 0.071 0.239
O17 0.098 0.845 0.912
O18 0.032 0.265 0.069
O19 0.854 0.130 0.914
O20 0.206 0.982 0.074
O21 0.267 0.719 0.050
O22 0.799 0.400 0.952
O23 0.535 0.892 0.962
O24 0.591 0.217 0.049
O25 0.301 0.345 0.875
O26 0.812 0.610 0.119
O27 0.261 0.642 0.555
O28 0.590 0.224 0.502

Computed properties:
Crystal system ... triclinic
Energy above the most stable polymorph in this dataset ... 0.000 eV/atom
Space-group type ... P1

Computed M_tot, in the same sequence as the records: 1.0 0.3 0.0 0.2 0.1 0.1 μB per formula unit.